{"formula": "Tc2MoBr", "functional": "GGA-PBE", "state": "relaxed", "lattice_angstrom": [[-1.103, -1.468, 4.716], [3.897, 0.056, 3.229], [-1.983, 3.275, -3.310]], "species": ["Br", "Tc", "Tc", "Mo"], "fractional_positions": [[0.250, 0.750, 0.500], [0.500, 0.500, 0.000], [0.000, 0.000, 0.000], [0.750, 0.250, 0.500]], "magnetic_moment_mub_per_fu": 0.00, "formation_energy_uncorrected_mev_per_atom": 1049, "volume_a3_per_atom": 15.76, "spacegroup": "I4/mmm (139)", "total_energy_ev_per_atom": -7.260}

=====

{"formula": "TcMoBr", "functional": "GGA-PBE", "state": "relaxed", "lattice_angstrom": [[-1.041, -6.904, -0.349], [1.757, -5.116, -3.299], [1.430, 5.396, 2.997]], "species": ["Tc", "Mo", "Br"], "fractional_positions": [[0.769, 0.868, 0.236], [0.383, 0.479, 0.239], [0.848, 0.653, 0.525]], "magnetic_moment_mub_per_fu": 0.00, "formation_energy_uncorrected_mev_per_atom": 353, "volume_a3_per_atom": 20.17, "spacegroup": "P1 (1)", "total_energy_ev_per_atom": -7.270}

=====

{"formula": "TcMo3Br", "functional": "GGA-PBE", "state": "relaxed", "lattice_angstrom": [[4.771, 0.000, 0.000], [0.000, 4.771, 0.000], [0.000, 0.000, 4.771]], "species": ["Tc", "Mo", "Mo", "Mo", "Br"], "fractional_positions": [[0.000, 0.000, 0.000], [0.000, 0.500, 0.000], [0.000, 0.000, 0.500], [0.500, 0.000, 0.000], [0.500, 0.500, 0.500]], "magnetic_moment_mub_per_fu": 0.00, "formation_energy_uncorrected_mev_per_atom": 1822, "volume_a3_per_atom": 21.72, "spacegroup": "Pm-3m (221)", "total_energy_ev_per_atom": -7.084}